Below is a relaxed H2IrSe crystal, with properties calculated at the GGA-PBEsol level.

Structure (POSCAR):
```
H2IrSe
1.0
-2.7593 2.7593 2.7663
2.7593 -2.7593 2.7663
2.7593 2.7593 -2.7663
H Ir Se
4 2 2
direct
0.0088 0.6250 0.8838
0.3750 0.2588 0.3838
0.7412 0.1250 0.1162
0.8750 0.9912 0.6162
0.0000 0.0000 0.0000
0.7500 0.2500 0.5000
0.2500 0.7500 0.5000
0.5000 0.5000 0.0000
```

Output
- calculated volume (Å³/cell) = 84
- uncorrected energy (eV/atom) = -4.609

Below is a relaxed Si2H2Ir crystal, with properties calculated at the GGA-PBEsol level.

Structure (POSCAR):
```
Si2H2Ir
1.0
-2.2510 2.2510 2.5088
2.2510 -2.2510 2.5088
2.2510 2.2510 -2.5088
Si H Ir
2 2 1
direct
0.2500 0.7500 0.5000
0.7500 0.2500 0.5000
0.1587 0.1587 0.0000
0.8413 0.8413 0.0000
0.5000 0.5000 0.0000
```

Output
- calculated volume (Å³/cell) = 51
- uncorrected energy (eV/atom) = -5.627

Below is a relaxed SnH2Ir crystal, with properties calculated at the GGA-PBEsol level.

Structure (POSCAR):
```
SnH2Ir
1.0
-1.6788 1.6788 4.1941
1.6788 -1.6788 4.1941
1.6788 1.6788 -4.1941
Sn H Ir
1 2 1
direct
0.0000 0.0000 0.0000
0.3162 0.3162 0.0000
0.6838 0.6838 0.0000
0.2500 0.7500 0.5000
```

Output
- calculated volume (Å³/cell) = 47
- uncorrected energy (eV/atom) = -5.293

Below is a relaxed TcSn2HIr crystal, with properties calculated at the GGA-PBEsol level.

Structure (POSCAR):
```
TcSn2HIr
1.0
5.1313 0.0000 0.0000
0.0000 5.1313 0.0000
0.0000 0.0000 3.2281
Tc Sn H Ir
1 2 1 1
direct
0.0000 0.0000 0.0000
0.0000 0.5000 0.5000
0.5000 0.0000 0.5000
0.5000 0.5000 0.0000
0.5000 0.5000 0.5000
```

Output
- calculated volume (Å³/cell) = 85
- uncorrected energy (eV/atom) = -5.992

Below is a relaxed SrH3Ir crystal, with properties calculated at the GGA-PBEsol level.

Structure (POSCAR):
```
SrH3Ir
1.0
3.7405 0.0000 0.0000
0.0000 3.7405 0.0000
0.0000 0.0000 3.7405
Sr H Ir
1 3 1
direct
0.0000 0.0000 0.0000
0.0000 0.5000 0.5000
0.5000 0.0000 0.5000
0.5000 0.5000 0.0000
0.5000 0.5000 0.5000
```

Output
- calculated volume (Å³/cell) = 52
- uncorrected energy (eV/atom) = -4.790

Below is a relaxed Ta3HIr crystal, with properties calculated at the GGA-PBEsol level.

Structure (POSCAR):
```
Ta3HIr
1.0
4.0962 0.0000 0.0000
0.0000 4.0962 0.0000
0.0000 0.0000 4.0962
Ta H Ir
3 1 1
direct
0.0000 0.0000 0.5000
0.0000 0.5000 0.0000
0.5000 0.0000 0.0000
0.0000 0.0000 0.0000
0.5000 0.5000 0.5000
```

Output
- calculated volume (Å³/cell) = 69
- uncorrected energy (eV/atom) = -10.344

Below is a relaxed TaH2Ir2 crystal, with properties calculated at the GGA-PBEsol level.

Structure (POSCAR):
```
TaH2Ir2
1.0
6.1481 0.0000 0.0000
0.0000 6.1481 0.0000
0.0000 0.0000 2.8453
Ta H Ir
2 4 4
direct
0.0000 0.0000 0.0000
0.5000 0.5000 0.0000
0.2258 0.2742 0.0000
0.2742 0.7742 0.0000
0.7258 0.2258 0.0000
0.7742 0.7258 0.0000
0.1488 0.6488 0.5000
0.3512 0.1488 0.5000
0.6488 0.8512 0.5000
0.8512 0.3512 0.5000
```

Output
- calculated volume (Å³/cell) = 108
- uncorrected energy (eV/atom) = -7.788

Below is a relaxed TcHIr2 crystal, with properties calculated at the GGA-PBEsol level.

Structure (POSCAR):
```
TcHIr2
1.0
0.0000 2.9190 2.9190
2.9190 0.0000 2.9190
2.9190 2.9190 0.0000
Tc H Ir
1 1 2
direct
0.0000 0.0000 0.0000
0.5000 0.5000 0.5000
0.2500 0.2500 0.2500
0.7500 0.7500 0.7500
```

Output
- calculated volume (Å³/cell) = 50
- uncorrected energy (eV/atom) = -7.855